[1]
Material: Zr3Pd
Method: DFT, PBE
State: relaxed

Its crystal system is orthorhombic. Its energy of formation from the pure elements is -69 meV per atom.

The structure belongs to space group Pmm2 (No. 25); the cell edges are 3.0102, 3.1173 and 9.2940 Å and the angles 90.00°, 90.00° and 90.00°. The distinct sites, in fractional coordinates, are Zr at (0.0000, 0.0000, 0.0000), Zr at (0.0000, 0.5000, 0.3007), Zr at (0.5000, 0.5000, 0.7545) and Pd at (0.5000, 0.0000, 0.5014).

[2]
Material: ZrPd2
Method: DFT, PBE
State: relaxed

Its crystal system is tetragonal. Its energy of formation from the pure elements is -752 meV per atom.

The structure belongs to space group I4/mmm (No. 139); the cell edges are 3.4670, 3.4670 and 8.7656 Å and the angles 90.00°, 90.00° and 90.00°. The distinct sites, in fractional coordinates, are Zr at (0.0000, 0.0000, 0.0000) and Pd at (0.0000, 0.0000, 0.3376).

[3]
Material: ZrPd7
Method: DFT, PBE
State: relaxed

Its crystal system is tetragonal. Its energy of formation from the pure elements is -446 meV per atom.

The structure belongs to space group I4/mmm (No. 139); the cell edges are 3.9984, 3.9984 and 15.9746 Å and the angles 90.00°, 90.00° and 90.00°. The distinct sites, in fractional coordinates, are Zr at (0.0000, 0.0000, 0.0000), Pd at (0.0000, 0.0000, 0.2514), Pd at (0.0000, 0.0000, 0.5000) and Pd at (0.0000, 0.5000, 0.1244).

[4]
Material: Pm
Method: DFT, PBE
State: relaxed

Its crystal system is trigonal. As for the energy above the most stable polymorph in this dataset: 0.0050 eV per atom. Its energy of formation from the pure elements is 5 meV per atom.

The structure belongs to space group R-3m (No. 166, hexagonal axes); the cell edges are 3.6685, 3.6685 and 26.5795 Å and the angles 90.00°, 90.00° and 120.00°. The distinct sites, in fractional coordinates, are Pm at (0.0000, 0.0000, 0.0000) and Pm at (0.0000, 0.0000, 0.2230).

[5]
Material: Pm
Method: DFT, PBE
State: relaxed

Its crystal system is cubic. As for the energy above the most stable polymorph in this dataset: 0.0121 eV per atom. Its energy of formation from the pure elements is 12 meV per atom.

The structure belongs to space group Fm-3m (No. 225); the cell edges are 5.1588, 5.1588 and 5.1588 Å and the angles 90.00°, 90.00° and 90.00°. The distinct sites, in fractional coordinates, are Pm at (0.0000, 0.0000, 0.0000).

[6]
Material: Pm
Method: DFT, PBE
State: relaxed

Its crystal system is hexagonal. As for the energy above the most stable polymorph in this dataset: 0.0000 eV per atom. Its energy of formation from the pure elements is 0 meV per atom.

The structure belongs to space group P6_3/mmc (No. 194); the cell edges are 3.6671, 3.6671 and 11.8051 Å and the angles 90.00°, 90.00° and 120.00°. The distinct sites, in fractional coordinates, are Pm at (0.0000, 0.0000, 0.0000) and Pm at (0.3333, 0.6667, 0.2500).

[7]
Material: Pm6Pr
Method: DFT, PBE
State: relaxed

Its crystal system is cubic. Its energy of formation from the pure elements is 1165 meV per atom.

The structure belongs to space group Im-3m (No. 229); the cell edges are 8.1584, 8.1584 and 8.1584 Å and the angles 90.00°, 90.00° and 90.00°. The distinct sites, in fractional coordinates, are Pm at (0.0000, 0.2500, 0.5000) and Pr at (0.0000, 0.0000, 0.0000).

[8]
Material: Pm3Pr5
Method: DFT, PBE
State: relaxed

Its crystal system is orthorhombic. Its energy of formation from the pure elements is 13 meV per atom.

The structure belongs to space group Pmmm (No. 47); the cell edges are 5.2131, 5.2173 and 10.4359 Å and the angles 90.00°, 90.00° and 90.00°. The distinct sites, in fractional coordinates, are Pm at (0.0000, 0.0000, 0.0000), Pm at (0.0000, 0.5000, 0.2490), Pr at (0.0000, 0.0000, 0.5000), Pr at (0.5000, 0.0000, 0.2488), Pr at (0.5000, 0.5000, 0.0000) and Pr at (0.5000, 0.5000, 0.5000).

no.,energy (eV/atom),N(E_F) (states/eV/cell),calculated density (g/cm³)
1,-7.7782,4.801,7.24
2,-7.0630,3.696,9.58
3,-6.0583,14.998,10.87
4,-4.7456,11.100,7.00
5,-4.7385,5.918,7.02
6,-4.7506,3.990,7.01
7,-3.5899,11.558,6.18
8,-4.7559,13.489,6.67